# 1
VASP calculation (PBE-GGA) on an optimized crystal structure of Pt3Au.

The formation enthalpy at 0 K comes out at 47 meV per atom. As for the magnetic moment: 0.000 μB/atom. For the total DFT energy (no corrections), the calculation gives -42.4 eV/cell.

The structure belongs to space group C2/m (No. 12); the cell edges are 9.368, 2.835 and 4.963 Å and the angles 90.00°, 100.34° and 90.00°. Symmetry generates all atoms from Pt at (0.000, 0.000, 0.000), Pt at (0.247, 0.500, 0.244) and Au at (0.000, 0.500, 0.500).

=====

# 2
VASP calculation (PBE-GGA) on an optimized crystal structure of BeCd2Si.

As for the magnetic moment: 0.000 μB/atom. As for the formation energy (no corrections): 0.629 eV per atom. For the total DFT energy (no corrections), the calculation gives -33.9 eV/cell. The value obtained for the distance to the lowest polymorph of the same formula is 0.3448 eV per atom.

The structure belongs to space group F-43m (No. 216); the cell edges are 6.635, 6.635 and 6.635 Å and the angles 90.00°, 90.00° and 90.00°. Symmetry generates all atoms from Be at (0.000, 0.000, 0.000), Cd at (0.000, 0.000, 0.500), Cd at (0.250, 0.250, 0.750) and Si at (0.250, 0.250, 0.250).

=====

# 3
VASP calculation (PBE-GGA) on an optimized crystal structure of PbBrCl.

As for the magnetic moment: 0.000 μB/atom. As for the formation energy (no corrections): -0.976 eV per atom. For the total DFT energy (no corrections), the calculation gives -20.3 eV/cell. The value obtained for the distance to the lowest polymorph of the same formula is 0.0485 eV per atom.

The structure belongs to space group P4/nmm (No. 129, origin choice 2); the cell edges are 4.685, 4.685 and 7.857 Å and the angles 90.00°, 90.00° and 90.00°. Symmetry generates all atoms from Pb at (0.250, 0.250, 0.234), Br at (0.250, 0.250, 0.637) and Cl at (0.250, 0.750, 0.000).

=====

# 4
VASP calculation (PBE-GGA) on an optimized crystal structure of YPa2MnN4.

As for the magnetic moment: 0.458 μB/atom. As for the formation energy (no corrections): -1.202 eV per atom. For the total DFT energy (no corrections), the calculation gives -310.2 eV/cell.

The structure belongs to space group Imma (No. 74); the cell edges are 6.817, 7.006 and 9.651 Å and the angles 90.00°, 90.00° and 90.00°. Symmetry generates all atoms from Y at (0.250, 0.250, 0.250), Pa at (0.000, 0.000, 0.000), Pa at (0.250, 0.250, 0.750), Mn at (0.000, 0.000, 0.500), N at (0.000, 0.007, 0.753) and N at (0.236, 0.250, 0.995).

=====

# 5
VASP calculation (PBE-GGA) on an optimized crystal structure of NbZn2Pt.

The formation enthalpy at 0 K comes out at -280 meV per atom. As for the magnetic moment: 0.000 μB/atom. For the total DFT energy (no corrections), the calculation gives -79.1 eV/cell.

The structure belongs to space group F-43m (No. 216); the cell edges are 6.314, 6.314 and 6.314 Å and the angles 90.00°, 90.00° and 90.00°. Symmetry generates all atoms from Nb at (0.000, 0.000, 0.000), Zn at (0.000, 0.000, 0.500), Zn at (0.250, 0.250, 0.750) and Pt at (0.250, 0.250, 0.250).

=====

# 6
VASP calculation (PBE-GGA) on an optimized crystal structure of BeSi2W.

As for the magnetic moment: 0.000 μB/atom. As for the formation energy (no corrections): 0.415 eV per atom. For the total DFT energy (no corrections), the calculation gives -25.9 eV/cell.

The structure belongs to space group P4/mmm (No. 123); the cell edges are 2.668, 2.668 and 7.407 Å and the angles 90.00°, 90.00° and 90.00°. Symmetry generates all atoms from Be at (0.000, 0.000, 0.000), Si at (0.500, 0.500, 0.227) and W at (0.000, 0.000, 0.500).

=====

# 7
VASP calculation (PBE-GGA) on an optimized crystal structure of LiCoTcN2.

As for the magnetic moment: 0.000 μB/atom. As for the formation energy (no corrections): 2.038 eV per atom. For the total DFT energy (no corrections), the calculation gives -25.8 eV/cell.

The structure belongs to space group P4/mmm (No. 123); the cell edges are 3.613, 3.613 and 3.856 Å and the angles 90.00°, 90.00° and 90.00°. Symmetry generates all atoms from Li at (0.000, 0.000, 0.000), Co at (0.500, 0.500, 0.500), Tc at (0.000, 0.000, 0.500) and N at (0.000, 0.500, 0.000).

=====

# 8
VASP calculation (PBE-GGA) on an optimized crystal structure of BRuPt.

The formation enthalpy at 0 K comes out at 124 meV per atom. As for the magnetic moment: 0.000 μB/atom. For the total DFT energy (no corrections), the calculation gives -86.5 eV/cell.

The structure belongs to space group Cmcm (No. 63); the cell edges are 3.690, 13.877 and 2.799 Å and the angles 90.00°, 90.00° and 90.00°. Symmetry generates all atoms from B at (0.000, 0.045, 0.250), Ru at (0.000, 0.203, 0.250) and Pt at (0.000, 0.409, 0.250).